# 1
Fe2Ni3Ir: optimized geometry, PBE.

Cell lengths 5.163, 3.630, 7.673 Å; angles 90.00, 91.06, 90.00 degrees
Sites, in units of the cell vectors:
Fe 0.127 0.250 0.085
Fe 0.354 0.750 0.587
Fe 0.646 0.250 0.413
Fe 0.873 0.750 0.915
Ni 0.120 0.250 0.754
Ni 0.123 0.250 0.419
Ni 0.367 0.750 0.918
Ni 0.633 0.250 0.082
Ni 0.877 0.750 0.581
Ni 0.880 0.750 0.246
Ir 0.381 0.750 0.253
Ir 0.619 0.250 0.747

Results
space-group type	P2_1/m (11)
ΔH_f (0 K)	-0.05	eV per atom



# 2
SmMgHgIr: optimized geometry, PBE.

Cell lengths 4.930, 4.930, 4.930 Å; angles 60.00, 60.00, 60.00 degrees
Sites, in units of the cell vectors:
Sm 0.000 0.000 0.000
Mg 0.500 0.500 0.500
Hg 0.250 0.250 0.250
Ir 0.750 0.750 0.750

Results
space-group type	F-43m (216)
ΔH_f (0 K)	-0.36	eV per atom



# 3
Mn2CdN: optimized geometry, PBE.

Cell lengths 4.110, 4.110, 4.110 Å; angles 60.00, 60.00, 60.00 degrees
Sites, in units of the cell vectors:
Mn 0.250 0.250 0.250
Mn 0.750 0.750 0.750
Cd 0.000 0.000 0.000
N 0.500 0.500 0.500

Results
space-group type	Fm-3m (225)
raw formation energy	1640	meV/atom
excess energy over the best structure of this formula in the dataset	1529.3	meV/atom



no.,calculated density (kg/m3)
1,11088
2,11122
3,7990